# 1
La2HfRu: optimized geometry, GGA-PBE.

abc: 8.588 8.588 5.940
angles: 90.00 90.00 90.00
Space group I-42d (No. 122)
Symmetry-distinct sites (fractional):
La 0.180 0.250 0.125 (multiplicity 8)
Hf 0.000 0.000 0.500 (multiplicity 4)
Ru 0.000 0.000 0.000 (multiplicity 4)

- Magnetization: 0.00 μB/cell
- Formation energy: 293 meV/atom

# 2
La2HfZnRu: optimized geometry, GGA-PBE.

abc: 5.456 5.456 4.957
angles: 90.00 90.00 90.00
Space group P4/mmm (No. 123)
Symmetry-distinct sites (fractional):
La 0.000 0.500 0.000 (multiplicity 2)
Hf 0.000 0.000 0.500 (multiplicity 1)
Zn 0.000 0.000 0.000 (multiplicity 1)
Ru 0.500 0.500 0.500 (multiplicity 1)

- Magnetization: 0.01 μB/cell
- Formation energy: 925 meV/atom

# 3
LaHfS2: optimized geometry, GGA-PBE.

abc: 3.9472 3.9472 25.0079
angles: 90.00 90.00 120.00
Space group R-3m (No. 166, hexagonal axes)
Symmetry-distinct sites (fractional):
La 0.0000 0.0000 0.0000 (multiplicity 3)
Hf 0.0000 0.0000 0.5000 (multiplicity 3)
S 0.0000 0.0000 0.4024 (multiplicity 6)

- Formation energy (no corrections): -1.093 eV/atom
- Magnetization: 0.00 μB/cell